Entry 1:
# PtSe2

PtSe2 after structural relaxation (GGA-PBE, the Open Quantum Materials Database).

Cell and atoms, written as POSCAR:
```
PtSe2
1.0
0.000 5.507 5.507
5.507 0.000 5.507
5.507 5.507 0.000
Pt Se
2 4
Direct
0.125 0.125 0.125
0.875 0.875 0.875
0.000 0.000 0.000
0.000 0.000 0.500
0.000 0.500 0.000
0.500 0.000 0.000
```

---

Entry 2:
# PtSe

PtSe after structural relaxation (GGA-PBE, the Open Quantum Materials Database).

Cell and atoms, written as POSCAR:
```
PtSe
1.0
0.000 2.639 2.639
2.639 0.000 2.639
2.639 2.639 0.000
Pt Se
1 1
Direct
0.000 0.000 0.000
0.500 0.500 0.500
```

---

Entry 3:
# PtSe2

PtSe2 after structural relaxation (GGA-PBE, the Open Quantum Materials Database).

Cell and atoms, written as POSCAR:
```
PtSe2
1.0
3.595 0.000 0.000
0.000 3.595 0.000
0.000 0.000 9.829
Pt Se
2 4
Direct
0.250 0.250 0.079
0.750 0.750 0.921
0.250 0.250 0.826
0.250 0.750 0.500
0.750 0.250 0.500
0.750 0.750 0.174
```

---

Entry 4:
# PtSe2

PtSe2 after structural relaxation (GGA-PBE, the Open Quantum Materials Database).

Cell and atoms, written as POSCAR:
```
PtSe2
1.0
-2.937 2.937 3.380
2.937 -2.937 3.380
2.937 2.937 -3.380
Pt Se
2 4
Direct
0.250 0.250 0.000
0.750 0.750 0.000
0.179 0.679 0.857
0.321 0.179 0.500
0.679 0.821 0.500
0.821 0.321 0.143
```

---

Energy for the records above, in order: -3.80; -4.80; -4.21; -4.11 eV/atom